Record 1
Entry from Alexandria: SrNi2Rh after structural relaxation (PBEsol).

Unit cell a=4.027 b=4.027 c=4.785 alpha=114.88 beta=114.88 gamma=90.00
Atoms (fractional coordinates):
Ni: 0.000 0.000 0.000
Ni: 0.750 0.250 0.500
Rh: 0.500 0.500 0.000
Sr: 0.250 0.750 0.500

Computed properties:
E above lowest polymorph: 525 meV per atom
SG: I-4m2
Fermi-level density of states: 1.24 states/eV/atom

=====

Record 2
Entry from Alexandria: ZrTeOs2C after structural relaxation (PBEsol).

Unit cell a=4.026 b=4.026 c=4.901 alpha=90.00 beta=90.00 gamma=90.00
Atoms (fractional coordinates):
C: 0.000 0.000 0.000
Te: 0.000 0.000 0.500
Os: 0.000 0.500 0.000
Os: 0.500 0.000 0.000
Zr: 0.500 0.500 0.500

Computed properties:
SG: P4/mmm
Fermi-level density of states: 0.61 states/eV/atom
ΔE_f (raw): 0.49 eV per atom

=====

Record 3
Entry from Alexandria: CuPPb after structural relaxation (PBEsol).

Unit cell a=3.932 b=3.932 c=4.344 alpha=90.00 beta=90.00 gamma=120.00
Atoms (fractional coordinates):
Pb: 0.333 0.667 0.333
P: 0.667 0.333 0.833
Cu: 0.000 0.000 0.834

Computed properties:
E above lowest polymorph: 0 meV per atom
SG: P-6m2
Fermi-level density of states: 0.26 states/eV/atom

=====

Record 4
Entry from Alexandria: BaZn2Rh after structural relaxation (PBEsol).

Unit cell a=4.349 b=4.308 c=6.198 alpha=111.32 beta=90.00 gamma=120.31
Atoms (fractional coordinates):
Zn: 0.806 0.612 0.919
Zn: 0.194 0.388 0.081
Rh: 0.500 0.000 0.000
Ba: 0.000 0.000 0.500

Computed properties:
SG: C2/m
Fermi-level density of states: 0.53 states/eV/atom

=====

Record 5
Entry from Alexandria: InFe3Si after structural relaxation (PBEsol).

Unit cell a=4.658 b=4.658 c=4.658 alpha=90.00 beta=90.00 gamma=90.00
Atoms (fractional coordinates):
Si: 0.500 0.500 0.500
Fe: 0.000 0.500 0.000
Fe: 0.000 0.000 0.500
Fe: 0.500 0.000 0.000
In: 0.000 0.000 0.000

Computed properties:
SG: Pm-3m
Fermi-level density of states: 1.55 states/eV/atom
ΔE_f (raw): 1.80 eV per atom

=====

Record 6
Entry from Alexandria: CoB3Rh after structural relaxation (PBEsol).

Unit cell a=3.660 b=3.660 c=3.660 alpha=90.00 beta=90.00 gamma=90.00
Atoms (fractional coordinates):
Co: 0.000 0.000 0.000
B: 0.000 0.500 0.000
B: 0.000 0.000 0.500
B: 0.500 0.000 0.000
Rh: 0.500 0.500 0.500

Computed properties:
SG: Pm-3m
Fermi-level density of states: 0.72 states/eV/atom

=====

Record 7
Entry from Alexandria: CsAg5Te3 after structural relaxation (PBEsol).

Unit cell a=4.492 b=14.448 c=14.448 alpha=90.00 beta=90.00 gamma=90.00
Atoms (fractional coordinates):
Cs: 0.500 0.888 0.112
Cs: 0.000 0.612 0.612
Cs: 0.000 0.388 0.388
Cs: 0.500 0.112 0.888
Ag: 0.000 0.679 0.321
Ag: 0.500 0.821 0.821
Ag: 0.500 0.179 0.179
Ag: 0.000 0.321 0.679
Ag: 0.500 0.398 0.985
Ag: 0.500 0.602 0.015
Ag: 0.000 0.515 0.898
Ag: 0.000 0.485 0.102
Ag: 0.500 0.985 0.398
Ag: 0.000 0.898 0.515
Ag: 0.000 0.102 0.485
Ag: 0.500 0.015 0.602
Ag: 0.500 0.418 0.788
Ag: 0.500 0.582 0.212
Ag: 0.000 0.712 0.918
Ag: 0.000 0.288 0.082
Ag: 0.500 0.212 0.582
Ag: 0.000 0.082 0.288
Ag: 0.000 0.918 0.712
Ag: 0.500 0.788 0.418
Te: 0.000 0.099 0.099
Te: 0.500 0.599 0.401
Te: 0.500 0.401 0.599
Te: 0.000 0.901 0.901
Te: 0.000 0.324 0.883
Te: 0.000 0.676 0.117
Te: 0.500 0.617 0.824
Te: 0.500 0.383 0.176
Te: 0.000 0.883 0.324
Te: 0.500 0.824 0.617
Te: 0.500 0.176 0.383
Te: 0.000 0.117 0.676

Computed properties:
SG: P4_2/mnm
Fermi-level density of states: 0.05 states/eV/atom
ΔE_f (raw): -0.27 eV per atom

=====

Record 8
Entry from Alexandria: CaIn2Te4 after structural relaxation (PBEsol).

Unit cell a=6.683 b=6.683 c=6.683 alpha=105.78 beta=105.78 gamma=117.15
Atoms (fractional coordinates):
Ca: 0.500 0.500 0.000
Te: 0.444 0.556 0.500
Te: 0.556 0.056 0.113
Te: 0.944 0.444 0.887
Te: 0.056 0.944 0.500
In: 0.000 0.500 0.500
In: 0.500 0.000 0.500

Computed properties:
SG: I422
ΔE_f (raw): -0.61 eV per atom

=====

| no. | total energy (eV per cell) | density (g cm⁻³) |
| --- | --- | --- |
| 1 | -20.41 | 8.2 |
| 2 | -44.24 | 12.8 |
| 3 | -14.22 | 8.6 |
| 4 | -14.57 | 6.8 |
| 5 | -26.60 | 5.1 |
| 6 | -32.91 | 6.6 |
| 7 | -122.02 | 7.5 |
| 8 | -26.50 | 5.7 |